Record 1
A relaxed structure of CaPmHg3, computed with GGA-PBE.

```
20
Lattice="8.212 -4.204 0.000 8.212 4.204 0.000 0.000 0.000 8.095" Properties=species:S:1:pos:R:3 pbc="T T T"
Ca 3.717 1.783 2.024
Ca 3.717 -1.783 6.072
Ca 12.707 1.783 2.024
Ca 12.707 -1.783 6.072
Pm 8.212 3.559 6.072
Pm 8.212 0.322 2.024
Pm 8.212 -0.322 6.072
Pm 8.212 -3.559 2.024
Hg 6.525 2.689 0.487
Hg 6.525 2.689 3.561
Hg 9.898 2.689 0.487
Hg 9.898 2.689 3.561
Hg 5.451 0.000 0.000
Hg 5.451 0.000 4.048
Hg 10.973 0.000 0.000
Hg 10.973 0.000 4.048
Hg 6.525 -2.689 4.535
Hg 6.525 -2.689 7.608
Hg 9.898 -2.689 4.535
Hg 9.898 -2.689 7.608
```

Energy: -38.35 eV for the cell shown
Spin magnetization: 0.000 μB/atom
Formation enthalpy at 0 K: -0.386 eV/atom
Distance to the lowest polymorph of the same formula: 0.0579 eV/atom

Record 2
A relaxed structure of CaPm3Hg2, computed with GGA-PBE.

```
12
Lattice="5.287 0.000 0.000 0.000 9.540 0.000 0.000 0.000 7.173" Properties=species:S:1:pos:R:3 pbc="T T T"
Ca 0.000 0.510 0.000
Ca 0.000 9.030 3.587
Pm 0.000 3.146 4.712
Pm 0.000 6.394 1.126
Pm 2.644 1.615 2.251
Pm 2.644 4.228 7.010
Pm 2.644 5.312 3.423
Pm 2.644 7.925 5.837
Hg 0.000 3.305 1.610
Hg 0.000 6.235 5.197
Hg 2.644 1.458 5.362
Hg 2.644 8.082 1.775
```

Energy: -37.92 eV for the cell shown
Spin magnetization: 0.000 μB/atom
Formation enthalpy at 0 K: -0.351 eV/atom
Distance to the lowest polymorph of the same formula: 0.0000 eV/atom

Record 3
A relaxed structure of CaPmHg2, computed with GGA-PBE.

```
12
Lattice="3.983 0.000 0.000 -1.991 3.449 0.000 0.000 0.000 26.644" Properties=species:S:1:pos:R:3 pbc="T T T"
Ca 0.000 0.000 0.000
Ca 0.000 2.299 17.763
Ca 1.991 1.150 8.881
Pm 0.000 0.000 4.433
Pm 0.000 2.299 22.196
Pm 1.991 1.150 13.314
Hg 0.000 0.000 15.533
Hg 0.000 0.000 19.993
Hg 0.000 2.299 6.651
Hg 0.000 2.299 11.112
Hg 1.991 1.150 2.230
Hg 1.991 1.150 24.414
```

Energy: -26.60 eV for the cell shown
Spin magnetization: 0.000 μB/atom
Formation enthalpy at 0 K: -0.377 eV/atom